Arrangement i

# TcHg (GGA-PBE, relaxed)
# Density of states at the Fermi level in states/eV per atom: 0.85
data_TcHg
_space_group_name_H-M_alt 'A m m 2'
_space_group_IT_number 38
_cell_length_a 4.579
_cell_length_b 8.710
_cell_length_c 5.400
_cell_angle_alpha 90.00
_cell_angle_beta 90.00
_cell_angle_gamma 90.00
loop_
_space_group_symop_operation_xyz
'x,y,z'
'-x,-y,z'
'-x,y,z'
'x,-y,z'
'x,y+1/2,z+1/2'
'-x,-y+1/2,z+1/2'
'-x,y+1/2,z+1/2'
'x,-y+1/2,z+1/2'
loop_
_atom_site_label
_atom_site_fract_x
_atom_site_fract_y
_atom_site_fract_z
Tc1 0.000 0.000 0.000
Tc2 0.500 0.143 0.130
Hg1 0.000 0.179 0.452
Hg2 0.500 0.000 0.653

Arrangement ii

# TcHg (GGA-PBE, relaxed)
# Density of states at the Fermi level in states/eV per atom: 0.58
data_TcHg
_space_group_name_H-M_alt 'R -3 m'
_space_group_IT_number 166
_space_group_name_Hall '-R 3 2"'
_cell_length_a 4.2443
_cell_length_b 4.2443
_cell_length_c 15.1546
_cell_angle_alpha 90.00
_cell_angle_beta 90.00
_cell_angle_gamma 120.00
loop_
_atom_site_label
_atom_site_fract_x
_atom_site_fract_y
_atom_site_fract_z
Tc1 0.0000 0.0000 0.1757
Hg1 0.0000 0.0000 0.3854

We find arrangement ii to be the most stable, with the next structure 89 meV per atom higher.

Arrangement i

# B5C7 (GGA-PBE, relaxed)
# Density of states at the Fermi level in states/eV per atom: 0.10
data_B5C7
_space_group_name_H-M_alt 'P 3 m 1'
_space_group_IT_number 156
_cell_length_a 2.5383
_cell_length_b 2.5383
_cell_length_c 13.9468
_cell_angle_alpha 90.00
_cell_angle_beta 90.00
_cell_angle_gamma 120.00
loop_
_space_group_symop_operation_xyz
'x,y,z'
'-y,x-y,z'
'-x+y,-x,z'
'-y,-x,z'
'-x+y,y,z'
'x,x-y,z'
loop_
_atom_site_label
_atom_site_fract_x
_atom_site_fract_y
_atom_site_fract_z
B1 0.0000 0.0000 0.0000
B2 0.0000 0.0000 0.1214
B3 0.0000 0.0000 0.6137
B4 0.3333 0.6667 0.2015
B5 0.3333 0.6667 0.6888
C1 0.0000 0.0000 0.5004
C2 0.3333 0.6667 0.3146
C3 0.3333 0.6667 0.8019
C4 0.6667 0.3333 0.3520
C5 0.6667 0.3333 0.4630
C6 0.6667 0.3333 0.8411
C7 0.6667 0.3333 0.9484

Arrangement ii

# B5C7 (GGA-PBE, relaxed)
# Density of states at the Fermi level in states/eV per atom: 0.10
data_B5C7
_space_group_name_H-M_alt 'P 1'
_space_group_IT_number 1
_cell_length_a 3.697
_cell_length_b 3.831
_cell_length_c 5.949
_cell_angle_alpha 72.38
_cell_angle_beta 88.95
_cell_angle_gamma 88.38
loop_
_space_group_symop_operation_xyz
'x,y,z'
loop_
_atom_site_label
_atom_site_fract_x
_atom_site_fract_y
_atom_site_fract_z
B1 0.000 0.000 0.000
B2 0.055 0.391 0.282
B3 0.247 0.878 0.772
B4 0.555 0.433 0.016
B5 0.722 0.937 0.512
C1 0.020 0.643 0.648
C2 0.269 0.137 0.161
C3 0.271 0.501 0.486
C4 0.506 0.821 0.314
C5 0.523 0.196 0.638
C6 0.750 0.669 0.154
C7 0.766 0.340 0.798

We find arrangement ii to be the most stable, with the next structure 70 meV per atom higher.